This record from Alexandria via LeMat-Bulk describes crystalline Ac12PrSm5 at its relaxed geometry. The functional is PBE.

Cell lengths 11.6323, 11.6323, 6.7033 Å; angles 106.20, 106.20, 60.15 degrees
Atoms (fractional coordinates):
Ac (0.0026, 0.3308, 0.4995)
Ac (0.1636, 0.8364, 0.0000)
Ac (0.1686, 0.4974, 0.0001)
Ac (0.3308, 0.0026, 0.4995)
Ac (0.3352, 0.6648, 0.5000)
Ac (0.4974, 0.1686, 0.0001)
Ac (0.5026, 0.8314, 0.9999)
Ac (0.6648, 0.3352, 0.5000)
Ac (0.6692, 0.9974, 0.5005)
Ac (0.8314, 0.5026, 0.9999)
Ac (0.8364, 0.1636, 0.0000)
Ac (0.9974, 0.6692, 0.5005)
Pr (0.5000, 0.5000, 0.0000)
Sm (0.0000, 0.0000, 0.5000)
Sm (0.1667, 0.1667, 0.9996)
Sm (0.3331, 0.3331, 0.4990)
Sm (0.6669, 0.6669, 0.5010)
Sm (0.8333, 0.8333, 0.0004)

Summary:
As for the formation energy from the elements: 0.042 eV/atom. The density of states at the Fermi level is 31.35 states/eV/cell. The crystal system is monoclinic. For the total energy, the calculation gives -76.92 eV for the cell shown.